Entry from Alexandria via LeMat-Bulk: a geometry-optimized Dy7Sb2Pt2 structure (PBE-GGA).

Lattice parameters (Å, degrees): 8.705 10.812 6.923 90.00 90.00 90.00
Space group Cmmm (No. 65)
Inequivalent atoms, fractional coordinates:
Dy  0.000  0.000  0.000 (multiplicity 2)
Dy  0.000  0.500  0.239 (multiplicity 4)
Dy  0.250  0.250  0.251 (multiplicity 8)
Sb  0.199  0.000  0.500 (multiplicity 4)
Pt  0.000  0.279  0.000 (multiplicity 4)

Values from the calculation:
**Fermi-level density of states**: 0.87 states/eV per atom
**Energy**: -0.4041 Ry per atom
**Crystal system**: orthorhombic
**Theoretical density**: 9.03 g cm⁻³



Entry from Alexandria via LeMat-Bulk: a geometry-optimized LiY2MgF structure (PBE-GGA).

Lattice parameters (Å, degrees): 5.191 5.191 3.920 90.00 90.00 90.00
Space group P4/mmm (No. 123)
Inequivalent atoms, fractional coordinates:
Li  0.000  0.000  0.000 (multiplicity 1)
Y  0.000  0.500  0.500 (multiplicity 2)
Mg  0.500  0.500  0.000 (multiplicity 1)
F  0.000  0.000  0.500 (multiplicity 1)

Values from the calculation:
**Fermi-level density of states**: 0.73 states/eV per atom
**Energy**: -0.3424 Ry per atom
**Crystal system**: tetragonal
**Theoretical density**: 3.58 g cm⁻³



Entry from Alexandria via LeMat-Bulk: a geometry-optimized LiMg2Re structure (PBE-GGA).

Lattice parameters (Å, degrees): 2.869 4.720 4.889 90.00 90.00 90.00
Space group Pmmm (No. 47)
Inequivalent atoms, fractional coordinates:
Li  0.000  0.000  0.000 (multiplicity 1)
Mg  0.000  0.500  0.500 (multiplicity 1)
Mg  0.500  0.500  0.000 (multiplicity 1)
Re  0.500  0.000  0.500 (multiplicity 1)

Values from the calculation:
**Fermi-level density of states**: 0.70 states/eV per atom
**Energy**: -0.2867 Ry per atom
**Energy relative to the elements**: 487 meV/atom
**Crystal system**: orthorhombic
**Theoretical density**: 6.06 g cm⁻³



Entry from Alexandria via LeMat-Bulk: a geometry-optimized NbCr4Rh structure (PBE-GGA).

Lattice parameters (Å, degrees): 6.825 6.825 6.825 90.00 90.00 90.00
Space group F-43m (No. 216)
Inequivalent atoms, fractional coordinates:
Nb  0.000  0.000  0.000 (multiplicity 4)
Cr  0.127  0.127  0.627 (multiplicity 16)
Rh  0.250  0.250  0.250 (multiplicity 4)

Values from the calculation:
**Fermi-level density of states**: 1.39 states/eV per atom
**Energy**: -0.6852 Ry per atom
**Energy relative to the elements**: -3 meV/atom
**Crystal system**: cubic
**Theoretical density**: 8.44 g cm⁻³